[1]
Here is crystalline FeReN2 at its relaxed geometry from Alexandria via LeMat-Bulk. Energies are from PBE-GGA.

Cell: 6.4901 6.4901 6.4901 Å, 24.34 24.34 24.34°
Site moments in Bohr magnetons follow the coordinates.
Atoms (fractional coordinates):
N  0.8947  0.8947  0.8947  0.00
N  0.1053  0.1053  0.1053  0.00
Re  0.0000  0.0000  0.0000  0.03
Fe  0.5000  0.5000  0.5000  1.55

Summary:
**DFT total energy**: -9.00 eV per atom
**Fermi-level density of states**: 3.083 states/eV/f.u.
**Excess energy over the best structure of this formula in the dataset**: 253.6 meV/atom
**Energy relative to the elements, uncorrected**: 0.3869 eV/atom

=====

[2]
Here is crystalline Mn2Tc2Os at its relaxed geometry from Alexandria via LeMat-Bulk. Energies are from PBE-GGA.

Cell: 6.8528 6.8528 2.8011 Å, 90.00 90.00 90.00°
Atoms (fractional coordinates):
Tc  0.6711  0.8289  0.5000
Tc  0.3289  0.1711  0.5000
Tc  0.8289  0.3289  0.5000
Tc  0.1711  0.6711  0.5000
Mn  0.6275  0.1275  0.0000
Mn  0.3725  0.8725  0.0000
Mn  0.8725  0.6275  0.0000
Mn  0.1275  0.3725  0.0000
Os  0.0000  0.0000  0.0000
Os  0.5000  0.5000  0.0000

Summary:
**DFT total energy**: -9.89 eV per atom
**Fermi-level density of states**: 6.040 states/eV/f.u.

=====

[3]
Here is crystalline Y3Zn2Pt4 at its relaxed geometry from Alexandria via LeMat-Bulk. Energies are from PBE-GGA.

Cell: 4.2259 5.9285 8.2726 Å, 73.67 75.20 69.12°
Atoms (fractional coordinates):
Pt  0.2913  0.3501  0.0672
Pt  0.0779  0.2558  0.5884
Pt  0.7087  0.6499  0.9328
Pt  0.9221  0.7442  0.4116
Zn  0.6633  0.0029  0.6705
Zn  0.3367  0.9971  0.3295
Y  0.0000  0.0000  0.0000
Y  0.6402  0.4141  0.3055
Y  0.3598  0.5859  0.6945

Summary:
**DFT total energy**: -6.12 eV per atom
**Fermi-level density of states**: 4.942 states/eV/f.u.

=====

Q: Among the records above, which one has the highest Fermi-level density of states?
A: Mn2Tc2Os